(1)
First-principles (PBE-GGA) data for Zr3TiAs after structural relaxation, as listed in the Alexandria database.

Results
The size of the total moment is 0.00 μB per cell. The value obtained for the total energy is -6.922 eV per atom. The energy above the most stable polymorph in this dataset comes out at 0.566 eV per atom. The density of states at the Fermi level is 8.6 states/eV/cell. As for the formation energy: 716 meV/atom.

abc: 4.914 4.914 4.914
angles: 90.00 90.00 90.00
Atoms (fractional coordinates):
Ti 0.000 0.000 0.000
Zr 0.500 0.000 0.000
Zr 0.000 0.500 0.000
Zr 0.000 0.000 0.500
As 0.500 0.500 0.500

(2)
First-principles (PBE-GGA) data for BaAcHgIr after structural relaxation, as listed in the Alexandria database.

Results
The size of the total moment is 0.00 μB per cell. The value obtained for the total energy is -4.046 eV per atom. The density of states at the Fermi level is 4.6 states/eV/cell. As for the formation energy: -247 meV/atom.

abc: 5.516 5.516 5.516
angles: 60.00 60.00 60.00
Atoms (fractional coordinates):
Ac 0.750 0.750 0.750
Hg 0.000 0.000 0.000
Ir 0.500 0.500 0.500
Ba 0.250 0.250 0.250

(3)
First-principles (PBE-GGA) data for AlAu2I8 after structural relaxation, as listed in the Alexandria database.

Results
The size of the total moment is 0.00 μB per cell. The value obtained for the total energy is -2.227 eV per atom. The density of states at the Fermi level is 4.3 states/eV/cell.

abc: 9.447 7.159 11.615
angles: 102.11 94.38 128.54
Atoms (fractional coordinates):
I 0.080 0.299 0.609
I 0.743 0.887 0.806
I 0.180 0.945 0.866
I 0.820 0.055 0.134
I 0.411 0.718 0.438
I 0.920 0.701 0.391
I 0.257 0.113 0.194
I 0.589 0.282 0.562
Au 0.174 0.210 0.402
Au 0.826 0.790 0.598
Al 0.000 0.000 0.000

(4)
First-principles (PBE-GGA) data for CaTcW2 after structural relaxation, as listed in the Alexandria database.

Results
The size of the total moment is 0.00 μB per cell. The value obtained for the total energy is -8.874 eV per atom. The energy above the most stable polymorph in this dataset comes out at 0.200 eV per atom. The density of states at the Fermi level is 4.8 states/eV/cell. As for the formation energy: 694 meV/atom.

abc: 9.980 9.980 9.980
angles: 16.67 16.67 16.67
Atoms (fractional coordinates):
Ca 0.250 0.250 0.250
W 0.490 0.490 0.490
W 0.010 0.010 0.010
Tc 0.750 0.750 0.750

(5)
First-principles (PBE-GGA) data for Zr2PRh2 after structural relaxation, as listed in the Alexandria database.

Results
The size of the total moment is 0.00 μB per cell. The value obtained for the total energy is -8.053 eV per atom. The density of states at the Fermi level is 8.4 states/eV/cell. As for the formation energy: -611 meV/atom.

abc: 6.958 6.958 3.647
angles: 90.00 90.00 90.00
Atoms (fractional coordinates):
P 0.000 0.000 0.000
P 0.500 0.500 0.000
Rh 0.136 0.364 0.000
Rh 0.864 0.636 0.000
Rh 0.364 0.864 0.000
Rh 0.636 0.136 0.000
Zr 0.325 0.175 0.500
Zr 0.175 0.675 0.500
Zr 0.825 0.325 0.500
Zr 0.675 0.825 0.500

(6)
First-principles (PBE-GGA) data for Sr2TlZn after structural relaxation, as listed in the Alexandria database.

Results
The size of the total moment is 0.00 μB per cell. The value obtained for the total energy is -2.056 eV per atom. The density of states at the Fermi level is 2.0 states/eV/cell. As for the formation energy: -305 meV/atom.

abc: 5.698 3.988 5.700
angles: 90.00 90.00 90.00
Atoms (fractional coordinates):
Sr 0.000 0.126 0.875
Sr 0.500 0.124 0.375
Tl 0.000 0.625 0.375
Zn 0.500 0.625 0.875

(7)
First-principles (PBE-GGA) data for CuP4 after structural relaxation, as listed in the Alexandria database.

Results
The size of the total moment is 0.00 μB per cell. The value obtained for the total energy is -4.795 eV per atom. The energy above the most stable polymorph in this dataset comes out at 0.366 eV per atom. The density of states at the Fermi level is 1.7 states/eV/cell. As for the formation energy: 352 meV/atom.

abc: 4.876 4.876 4.876
angles: 122.89 122.89 85.06
Atoms (fractional coordinates):
P 0.250 0.750 0.500
P 0.750 0.250 0.500
P 0.319 0.319 0.000
P 0.681 0.681 0.000
Cu 0.000 0.000 0.000

(8)
First-principles (PBE-GGA) data for Tl2SiSe3 after structural relaxation, as listed in the Alexandria database.

Results
The size of the total moment is 0.00 μB per cell. The value obtained for the total energy is -3.878 eV per atom.

abc: 6.925 7.765 15.618
angles: 90.03 90.08 63.52
Atoms (fractional coordinates):
Si 0.752 0.996 0.171
Si 0.747 0.004 0.671
Si 0.253 0.996 0.329
Si 0.248 0.004 0.829
Tl 0.643 0.214 0.944
Tl 0.554 0.394 0.356
Tl 0.142 0.214 0.556
Tl 0.858 0.786 0.444
Tl 0.357 0.786 0.056
Tl 0.948 0.606 0.856
Tl 0.446 0.606 0.644
Tl 0.052 0.394 0.144
Se 0.423 0.153 0.750
Se 0.161 0.178 0.952
Se 0.094 0.315 0.345
Se 0.924 0.152 0.750
Se 0.906 0.685 0.655
Se 0.409 0.685 0.845
Se 0.340 0.822 0.452
Se 0.591 0.315 0.155
Se 0.076 0.848 0.250
Se 0.660 0.178 0.548
Se 0.577 0.847 0.250
Se 0.839 0.822 0.048

(9)
First-principles (PBE-GGA) data for HfSb4Mo after structural relaxation, as listed in the Alexandria database.

Results
The size of the total moment is 0.00 μB per cell. The value obtained for the total energy is -6.430 eV per atom. The density of states at the Fermi level is 0.8 states/eV/cell.

abc: 5.506 5.506 8.449
angles: 62.16 62.16 38.96
Atoms (fractional coordinates):
Sb 0.843 0.843 0.547
Sb 0.410 0.410 0.881
Sb 0.604 0.604 0.097
Sb 0.141 0.141 0.477
Hf 0.849 0.849 0.190
Mo 0.152 0.152 0.809

(10)
First-principles (PBE-GGA) data for CdP2Ru after structural relaxation, as listed in the Alexandria database.

Results
The size of the total moment is 0.00 μB per cell. The value obtained for the total energy is -5.136 eV per atom. The density of states at the Fermi level is 2.9 states/eV/cell. As for the formation energy: 117 meV/atom.

abc: 3.032 3.032 7.106
angles: 90.00 90.00 90.00
Atoms (fractional coordinates):
Cd 0.500 0.500 0.723
P 0.500 0.500 0.267
P 0.000 0.000 0.078
Ru 0.000 0.000 0.432

(11)
First-principles (PBE-GGA) data for InPbBr after structural relaxation, as listed in the Alexandria database.

Results
The size of the total moment is 0.00 μB per cell. The value obtained for the total energy is -3.015 eV per atom. The energy above the most stable polymorph in this dataset comes out at 0.000 eV per atom. The density of states at the Fermi level is 2.2 states/eV/cell.

abc: 4.991 3.780 13.101
angles: 90.00 90.00 131.32
Atoms (fractional coordinates):
In 0.090 0.180 0.500
In 0.756 0.513 0.000
Pb 0.258 0.515 0.158
Pb 0.258 0.515 0.842
Br 0.653 0.305 0.338
Br 0.653 0.305 0.662

(12)
First-principles (PBE-GGA) data for Cs3NdU2S9 after structural relaxation, as listed in the Alexandria database.

Results
The size of the total moment is 0.18 μB per cell. The value obtained for the total energy is -5.867 eV per atom.

abc: 7.505 7.505 9.225
angles: 90.00 90.00 120.00
Atoms (fractional coordinates):
S 0.650 0.825 0.319
S 0.350 0.175 0.681
S 0.500 0.500 0.000
S 0.500 0.000 0.000
S 0.825 0.175 0.681
S 0.825 0.650 0.681
S 0.175 0.825 0.319
S 0.175 0.350 0.319
S 0.000 0.500 0.000
Cs 0.667 0.333 0.337
Cs 0.000 0.000 0.000
Cs 0.333 0.667 0.663
Nd 0.000 0.000 0.500
U 0.667 0.333 0.837
U 0.333 0.667 0.163